Material: MnZn5Au6
Method: DFT, PBE
State: relaxed

Cell lengths 4.485, 6.490, 7.169 Å; angles 90.00, 110.62, 90.00 degrees
Atoms (fractional coordinates):
Zn 0.657 0.500 0.333
Zn 0.348 0.000 0.677
Zn 0.000 0.500 0.000
Zn 0.652 0.000 0.323
Zn 0.343 0.500 0.667
Mn 0.000 0.000 0.000
Au 0.840 0.752 0.662
Au 0.840 0.248 0.662
Au 0.500 0.256 0.000
Au 0.500 0.744 0.000
Au 0.160 0.752 0.338
Au 0.160 0.248 0.338

Summary:
Formation enthalpy at 0 K: -2.20 eV per formula unit
Density: 13.3 g cm⁻³

***

Material: Tb4Pm3Sm
Method: DFT, PBE
State: relaxed

Cell lengths 3.606, 8.068, 10.782 Å; angles 98.59, 70.48, 116.58 degrees
Atoms (fractional coordinates):
Tb 0.000 0.750 0.750
Tb 0.499 0.250 0.750
Tb 0.000 0.250 0.250
Tb 0.501 0.750 0.250
Sm 0.500 0.000 0.000
Pm 0.000 0.000 0.500
Pm 0.500 0.500 0.500
Pm 0.000 0.500 0.000

Summary:
Formation enthalpy at 0 K: 0.12 eV per formula unit
Density: 7.7 g cm⁻³
Polymorph energy (0 for the lowest one): 0.0 kJ/mol of atoms

***

Material: Ag6Ge
Method: DFT, PBE
State: relaxed

Cell lengths 6.415, 6.415, 6.415 Å; angles 109.47, 109.47, 109.47 degrees
Atoms (fractional coordinates):
Ag 0.250 0.750 0.500
Ag 0.500 0.750 0.250
Ag 0.250 0.500 0.750
Ag 0.750 0.250 0.500
Ag 0.500 0.250 0.750
Ag 0.750 0.500 0.250
Ge 0.000 0.000 0.000

Summary:
Formation enthalpy at 0 K: 6.41 eV per formula unit
Density: 5.9 g cm⁻³

***

Material: AcI
Method: DFT, PBE
State: relaxed

Cell lengths 4.743, 4.743, 4.743 Å; angles 60.00, 60.00, 60.00 degrees
Atoms (fractional coordinates):
I 0.000 0.000 0.000
Ac 0.500 0.500 0.500

Summary:
Density: 7.8 g cm⁻³
Polymorph energy (0 for the lowest one): 14.5 kJ/mol of atoms
Energy relative to the elements, uncorrected: -1.475 eV/f.u.

***

Material: SrMo3Rh
Method: DFT, PBE
State: relaxed

Cell lengths 4.654, 4.654, 4.654 Å; angles 90.00, 90.00, 90.00 degrees
Atoms (fractional coordinates):
Sr 0.000 0.000 0.000
Mo 0.000 0.500 0.000
Mo 0.000 0.000 0.500
Mo 0.500 0.000 0.000
Rh 0.500 0.500 0.500

Summary:
Formation enthalpy at 0 K: 15.46 eV per formula unit
Density: 7.9 g cm⁻³
Polymorph energy (0 for the lowest one): 166.4 kJ/mol of atoms

***

Material: CrAg2Br
Method: DFT, PBE
State: relaxed

Cell lengths 3.470, 3.470, 6.904 Å; angles 90.00, 90.00, 90.95 degrees
Atoms (fractional coordinates):
Ag 0.000 0.000 0.995
Ag 0.500 0.500 0.193
Br 0.000 0.000 0.545
Cr 0.500 0.500 0.766

Summary:
Density: 6.9 g cm⁻³
Polymorph energy (0 for the lowest one): 3.8 kJ/mol of atoms
Energy relative to the elements, uncorrected: 0.908 eV/f.u.

***

What did we get for DFT total energy? Answer: -3.12 -4.67 -2.19 -3.57 -5.21 -4.02 eV per atom, in the order shown.